{
  "formula": "BaTlPt2",
  "functional": "PBE-GGA",
  "state": "relaxed",
  "e_tot_ev_per_atom": -4.262,
  "ef_mev_per_atom": -169,
  "cell": [[6.5220, 0.0000, 0.0000], [0.0000, 7.5475, 0.0000], [0.0000, 0.0000, 3.9679]],
  "species": ["Ba", "Ba", "Tl", "Tl", "Pt", "Pt", "Pt", "Pt"],
  "fractional_positions": [[0.0000, 0.0000, 0.0000], [0.5000, 0.5000, 0.0000], [0.0000, 0.5000, 0.0000], [0.5000, 0.0000, 0.0000], [0.2500, 0.2500, 0.5000], [0.2500, 0.7500, 0.5000], [0.7500, 0.2500, 0.5000], [0.7500, 0.7500, 0.5000]]
}

***

{
  "formula": "BaTl3Pt2",
  "functional": "PBE-GGA",
  "state": "relaxed",
  "e_tot_ev_per_atom": -3.774,
  "ef_mev_per_atom": -257,
  "relative_energy_mev_per_atom": 61,
  "cell": [[4.2871, 2.4751, 5.8105], [-4.2871, 2.4751, 5.8105], [0.0000, -4.9503, 5.8105]],
  "species": ["Ba", "Ba", "Tl", "Tl", "Tl", "Tl", "Tl", "Tl", "Pt", "Pt", "Pt", "Pt"],
  "fractional_positions": [[0.2243, 0.2243, 0.2243], [0.7757, 0.7757, 0.7757], [0.2525, 0.2525, 0.7321], [0.2525, 0.7321, 0.2525], [0.2679, 0.7475, 0.7475], [0.7321, 0.2525, 0.2525], [0.7475, 0.2679, 0.7475], [0.7475, 0.7475, 0.2679], [0.0000, 0.0000, 0.0000], [0.0000, 0.5000, 0.5000], [0.5000, 0.0000, 0.5000], [0.5000, 0.5000, 0.0000]]
}

***

{
  "formula": "Ba2Tl4Pt",
  "functional": "PBE-GGA",
  "state": "relaxed",
  "e_tot_ev_per_atom": -2.995,
  "ef_mev_per_atom": -231,
  "cell": [[5.2920, 0.0000, 0.0000], [0.0000, 5.2920, 0.0000], [0.0000, 0.0000, 18.2676]],
  "species": ["Ba", "Ba", "Ba", "Ba", "Tl", "Tl", "Tl", "Tl", "Tl", "Tl", "Tl", "Tl", "Pt", "Pt"],
  "fractional_positions": [[0.0000, 0.0000, 0.1525], [0.0000, 0.0000, 0.8475], [0.5000, 0.5000, 0.3475], [0.5000, 0.5000, 0.6525], [0.0000, 0.0000, 0.3426], [0.0000, 0.0000, 0.6574], [0.0000, 0.5000, 0.0000], [0.0000, 0.5000, 0.5000], [0.5000, 0.0000, 0.0000], [0.5000, 0.0000, 0.5000], [0.5000, 0.5000, 0.1574], [0.5000, 0.5000, 0.8426], [0.0000, 0.0000, 0.5000], [0.5000, 0.5000, 0.0000]]
}

***

{
  "formula": "Ba3Tl2Pt4",
  "functional": "PBE-GGA",
  "state": "relaxed",
  "e_tot_ev_per_atom": -4.436,
  "ef_mev_per_atom": -585,
  "cell": [[6.1824, -2.3144, 0.0000], [6.1824, 2.3144, 0.0000], [-3.3212, 0.0000, 8.8624]],
  "species": ["Ba", "Ba", "Ba", "Tl", "Tl", "Pt", "Pt", "Pt", "Pt"],
  "fractional_positions": [[0.0000, 0.0000, 0.0000], [0.3733, 0.3733, 0.2964], [0.6267, 0.6267, 0.7036], [0.3263, 0.3263, 0.6638], [0.6737, 0.6737, 0.3362], [0.0837, 0.0837, 0.4373], [0.2795, 0.2795, 0.9373], [0.7205, 0.7205, 0.0627], [0.9163, 0.9163, 0.5627]]
}

***

{
  "formula": "Ba2Tl3Pt2",
  "functional": "PBE-GGA",
  "state": "relaxed",
  "e_tot_ev_per_atom": -3.740,
  "ef_mev_per_atom": -451,
  "cell": [[11.6273, 0.0000, 0.0000], [0.0000, 4.5519, 0.0000], [-3.4029, 0.0000, 7.6273]],
  "species": ["Ba", "Ba", "Ba", "Ba", "Tl", "Tl", "Tl", "Tl", "Tl", "Tl", "Pt", "Pt", "Pt", "Pt"],
  "fractional_positions": [[0.1417, 0.0000, 0.2802], [0.3583, 0.5000, 0.7198], [0.6417, 0.5000, 0.2802], [0.8583, 0.0000, 0.7198], [0.0000, 0.5000, 0.5000], [0.1334, 0.5000, 0.9399], [0.3666, 0.0000, 0.0601], [0.5000, 0.0000, 0.5000], [0.6334, 0.0000, 0.9399], [0.8666, 0.5000, 0.0601], [0.1457, 0.0000, 0.7132], [0.3543, 0.5000, 0.2868], [0.6457, 0.5000, 0.7132], [0.8543, 0.0000, 0.2868]]
}

***

{
  "formula": "BaTl6Pt4",
  "functional": "PBE-GGA",
  "state": "relaxed",
  "e_tot_ev_per_atom": -3.908,
  "ef_mev_per_atom": -246,
  "cell": [[-3.6588, 3.6588, 5.1827], [3.6588, -3.6588, 5.1827], [3.6588, 3.6588, -5.1827]],
  "species": ["Ba", "Tl", "Tl", "Tl", "Tl", "Tl", "Tl", "Pt", "Pt", "Pt", "Pt"],
  "fractional_positions": [[0.0000, 0.0000, 0.0000], [0.0000, 0.5000, 0.5000], [0.1146, 0.1146, 0.6442], [0.4704, 0.4704, 0.3558], [0.5000, 0.0000, 0.5000], [0.5296, 0.8854, 0.0000], [0.8854, 0.5296, 0.0000], [0.2554, 0.5953, 0.0000], [0.4047, 0.4047, 0.6601], [0.5953, 0.2554, 0.0000], [0.7446, 0.7446, 0.3399]]
}

***

{
  "formula": "BaTlPt",
  "functional": "PBE-GGA",
  "state": "relaxed",
  "e_tot_ev_per_atom": -3.923,
  "ef_mev_per_atom": -480,
  "cell": [[4.8411, 0.0000, 0.0000], [0.0000, 4.8411, 0.0000], [0.0000, 0.0000, 7.6247]],
  "species": ["Ba", "Ba", "Tl", "Tl", "Pt", "Pt"],
  "fractional_positions": [[0.2500, 0.2500, 0.1495], [0.7500, 0.7500, 0.8505], [0.2500, 0.7500, 0.5000], [0.7500, 0.2500, 0.5000], [0.2500, 0.2500, 0.7202], [0.7500, 0.7500, 0.2798]]
}

***

{
  "formula": "BaTl2Pt2",
  "functional": "PBE-GGA",
  "state": "relaxed",
  "e_tot_ev_per_atom": -4.186,
  "ef_mev_per_atom": -439,
  "cell": [[4.6649, 0.0000, 0.0000], [0.0000, 4.6649, 0.0000], [0.0000, 0.0000, 12.1780]],
  "species": ["Ba", "Ba", "Tl", "Tl", "Tl", "Tl", "Pt", "Pt", "Pt", "Pt"],
  "fractional_positions": [[0.0000, 0.0000, 0.0000], [0.5000, 0.5000, 0.5000], [0.0000, 0.5000, 0.2500], [0.0000, 0.5000, 0.7500], [0.5000, 0.0000, 0.2500], [0.5000, 0.0000, 0.7500], [0.0000, 0.0000, 0.3922], [0.0000, 0.0000, 0.6078], [0.5000, 0.5000, 0.1078], [0.5000, 0.5000, 0.8922]]
}

***

{
  "formula": "Ba8TlPt2",
  "functional": "PBE-GGA",
  "state": "relaxed",
  "e_tot_ev_per_atom": -2.940,
  "ef_mev_per_atom": -228,
  "cell": [[10.5572, 0.0000, 0.0000], [-5.2786, 9.1428, 0.0000], [0.0000, 0.0000, 6.5337]],
  "species": ["Ba", "Ba", "Ba", "Ba", "Ba", "Ba", "Ba", "Ba", "Tl", "Pt", "Pt"],
  "fractional_positions": [[0.1678, 0.8304, 0.2550], [0.1696, 0.3375, 0.2550], [0.3333, 0.6667, 0.7521], [0.3375, 0.1678, 0.7450], [0.6625, 0.8322, 0.2550], [0.6667, 0.3333, 0.2479], [0.8304, 0.6625, 0.7450], [0.8322, 0.1696, 0.7450], [0.0000, 0.0000, 0.0000], [0.3333, 0.6667, 0.2493], [0.6667, 0.3333, 0.7507]]
}

***

{
  "formula": "Ba2Tl2Pt",
  "functional": "PBE-GGA",
  "state": "relaxed",
  "e_tot_ev_per_atom": -3.417,
  "ef_mev_per_atom": -493,
  "relative_energy_mev_per_atom": 0,
  "cell": [[6.4968, -2.2144, 0.0000], [6.4968, 2.2144, 0.0000], [-5.0100, 0.0000, 11.8916]],
  "species": ["Ba", "Ba", "Ba", "Ba", "Tl", "Tl", "Tl", "Tl", "Pt", "Pt"],
  "fractional_positions": [[0.0021, 0.0021, 0.3408], [0.1894, 0.1894, 0.1290], [0.8106, 0.8106, 0.8710], [0.9979, 0.9979, 0.6592], [0.3158, 0.3158, 0.4403], [0.4656, 0.4656, 0.1109], [0.5344, 0.5344, 0.8891], [0.6842, 0.6842, 0.5597], [0.3231, 0.3231, 0.6845], [0.6769, 0.6769, 0.3155]]
}

***

{
  "formula": "Ba2TlPt",
  "functional": "PBE-GGA",
  "state": "relaxed",
  "e_tot_ev_per_atom": -3.322,
  "ef_mev_per_atom": -259,
  "relative_energy_mev_per_atom": 254,
  "cell": [[7.8125, 0.0000, 0.0000], [0.0000, 7.8125, 0.0000], [0.0000, 0.0000, 7.8125]],
  "species": ["Ba", "Ba", "Ba", "Ba", "Ba", "Ba", "Ba", "Ba", "Tl", "Tl", "Tl", "Tl", "Pt", "Pt", "Pt", "Pt"],
  "fractional_positions": [[0.0000, 0.0000, 0.0000], [0.0000, 0.5000, 0.5000], [0.2500, 0.2500, 0.2500], [0.2500, 0.7500, 0.7500], [0.5000, 0.0000, 0.5000], [0.5000, 0.5000, 0.0000], [0.7500, 0.2500, 0.7500], [0.7500, 0.7500, 0.2500], [0.0000, 0.0000, 0.5000], [0.0000, 0.5000, 0.0000], [0.5000, 0.0000, 0.0000], [0.5000, 0.5000, 0.5000], [0.2500, 0.2500, 0.7500], [0.2500, 0.7500, 0.2500], [0.7500, 0.2500, 0.2500], [0.7500, 0.7500, 0.7500]]
}

***

{
  "formula": "BaTl3Pt2",
  "functional": "PBE-GGA",
  "state": "relaxed",
  "e_tot_ev_per_atom": -3.835,
  "ef_mev_per_atom": -318,
  "relative_energy_mev_per_atom": 0,
  "cell": [[9.3510, -2.2409, 0.0000], [9.3510, 2.2409, 0.0000], [-3.2650, 0.0000, 11.4550]],
  "species": ["Ba", "Ba", "Ba", "Tl", "Tl", "Tl", "Tl", "Tl", "Tl", "Tl", "Tl", "Tl", "Pt", "Pt", "Pt", "Pt", "Pt", "Pt"],
  "fractional_positions": [[0.0000, 0.0000, 0.0000], [0.1590, 0.1590, 0.7116], [0.8410, 0.8410, 0.2884], [0.0382, 0.0382, 0.3339], [0.2201, 0.2201, 0.3913], [0.3254, 0.3254, 0.0376], [0.3765, 0.3765, 0.7988], [0.5000, 0.5000, 0.5000], [0.6235, 0.6235, 0.2012], [0.6746, 0.6746, 0.9624], [0.7799, 0.7799, 0.6087], [0.9618, 0.9618, 0.6661], [0.1994, 0.1994, 0.1334], [0.3615, 0.3615, 0.5471], [0.4660, 0.4660, 0.2005], [0.5340, 0.5340, 0.7995], [0.6385, 0.6385, 0.4529], [0.8006, 0.8006, 0.8666]]
}